First-principles (PBE) data for an optimized crystal structure of CoPSeCl2, as listed in Alexandria.

Cell: 4.768 4.768 5.271 Å, 90.00 90.00 90.00°
Site moments in Bohr magnetons follow the coordinates.
Positions (direct):
Cl  0.500  0.000  0.000  0.01
Cl  0.000  0.500  0.000  0.01
Se  0.000  0.000  0.000  -0.01
Co  0.500  0.500  0.500  2.29
P  0.000  0.000  0.500  0.12

Its symmetry is P4/mmm (123). For the relative energy among the computed polymorphs, the calculation gives 655.3 meV per atom. For the energy relative to the elements, uncorrected, the calculation gives 5.0 eV per formula unit. The calculation puts the total moment at 2.71 μB/f.u.